Ta2Os2W | PBE-GGA | optimized geometry

Structure (extended XYZ):
```
5
Lattice="-2.071 2.071 5.453 2.071 -2.071 5.453 2.071 2.071 -5.453" Properties=species:S:1:pos:R:3 pbc="T T T"
Os 0.000 0.000 4.248
Os 0.000 0.000 6.658
Ta 0.000 2.071 2.727
Ta 2.071 0.000 2.727
W 0.000 0.000 0.000
```

Summary:
* calculated density: 16.44 Mg/m³
* DOS(E_F): 5.25 states/eV/f.u.
* DFT total energy: -55.93 eV/f.u.
* calculated volume: 18.7 Å³ per atom

Ta5OsW2 | PBE-GGA | optimized geometry

Structure (extended XYZ):
```
16
Lattice="-1.788 3.586 -2.228 -3.336 1.012 4.306 7.581 6.482 4.350" Properties=species:S:1:pos:R:3 pbc="T T T"
Ta 1.457 1.811 1.746
Ta -1.122 2.895 0.843
Ta 2.788 5.683 6.910
Ta 3.579 8.185 5.585
Ta -0.783 5.117 4.148
Ta 2.122 3.747 4.328
Ta 4.555 5.262 4.814
Ta 0.000 0.000 0.000
Ta 3.240 5.963 2.281
Ta -0.311 2.232 3.842
W 0.845 4.574 1.967
W -2.745 3.437 3.017
W 5.202 7.643 3.411
W 1.612 6.506 4.461
Os -1.668 0.506 2.153
Os 3.790 3.241 2.175
```

Summary:
* calculated density: 17.58 Mg/m³
* DOS(E_F): 6.03 states/eV/f.u.
* DFT total energy: -97.03 eV/f.u.
* calculated volume: 17.3 Å³ per atom

TaOs2W | PBE-GGA | optimized geometry

Structure (extended XYZ):
```
4
Lattice="0.000 3.163 3.163 3.163 0.000 3.163 3.163 3.163 0.000" Properties=species:S:1:pos:R:3 pbc="T T T"
Os 1.581 1.581 1.581
Os 4.744 4.744 4.744
W 3.163 3.163 3.163
Ta 0.000 0.000 0.000
```

Summary:
* calculated density: 19.55 Mg/m³
* DOS(E_F): 6.10 states/eV/f.u.
* offset from the most stable computed form: 0.171 eV per atom
* calculated volume: 15.8 Å³ per atom

TaOs5W | PBE-GGA | optimized geometry

Structure (extended XYZ):
```
14
Lattice="4.860 -0.340 -0.798 -0.426 4.854 -0.798 -0.821 -0.836 9.633" Properties=species:S:1:pos:R:3 pbc="T T T"
Os 2.123 0.574 3.826
Os 1.490 3.104 4.210
Os 2.725 -0.277 0.881
Os 3.488 1.962 -0.606
Os 0.125 1.715 8.642
Os 0.888 3.955 7.155
Os -0.736 2.302 5.697
Os 4.349 1.376 2.339
Os -0.002 4.027 1.610
Os 3.615 -0.349 6.426
Ta 1.896 2.161 1.610
Ta 1.717 1.516 6.426
W 0.000 0.000 0.000
W -0.411 -0.418 4.816
```

Summary:
* calculated density: 19.96 Mg/m³
* DOS(E_F): 5.32 states/eV/f.u.
* DFT total energy: -79.40 eV/f.u.
* calculated volume: 15.6 Å³ per atom

TaOs2W | PBE-GGA | optimized geometry

Structure (extended XYZ):
```
4
Lattice="-3.457 -0.970 3.124 -0.294 -3.343 -3.375 1.823 -1.673 1.498" Properties=species:S:1:pos:R:3 pbc="T T T"
Ta -0.817 -1.321 2.311
Os -1.875 -2.156 -0.125
Os 0.000 0.000 0.000
W 0.765 -2.508 -0.939
```

Summary:
* calculated density: 19.67 Mg/m³
* DOS(E_F): 4.07 states/eV/f.u.
* offset from the most stable computed form: 0.006 eV per atom
* calculated volume: 15.7 Å³ per atom

Ta3OsW2 | PBE-GGA | optimized geometry

Structure (extended XYZ):
```
12
Lattice="-3.380 2.975 -0.733 -2.737 -1.225 -6.549 -4.214 -4.162 2.540" Properties=species:S:1:pos:R:3 pbc="T T T"
Ta -6.892 -1.053 -0.892
Ta -4.852 -1.635 1.539
Ta -5.550 -3.442 -2.579
Ta -4.782 1.030 -2.164
Ta -3.440 -1.358 -3.850
Ta -2.742 0.449 0.268
W -4.147 -1.500 -1.163
W -2.107 -2.081 1.270
W -6.184 -0.912 -3.579
W 0.000 0.000 0.000
Os -2.040 0.582 -2.430
Os -4.078 1.168 -4.852
```

Summary:
* calculated density: 18.20 Mg/m³
* DOS(E_F): 2.60 states/eV/f.u.
* offset from the most stable computed form: 0.000 eV per atom
* calculated volume: 16.7 Å³ per atom

Ta3Os2W | PBE-GGA | optimized geometry

Structure (extended XYZ):
```
12
Lattice="-4.206 -1.669 -0.109 0.309 -6.768 -2.296 0.647 -2.026 6.058" Properties=species:S:1:pos:R:3 pbc="T T T"
Ta -1.616 -2.359 4.505
Ta -0.012 -6.305 3.014
Ta -3.238 -4.157 0.639
Ta -2.911 -5.181 3.700
Ta -1.943 -1.335 1.445
Ta -0.339 -5.282 -0.046
Os -0.978 -3.820 2.230
Os 0.323 -1.013 3.029
Os 0.000 0.000 0.000
Os -2.273 -6.642 1.424
W -1.304 -2.799 -0.797
W -2.592 -5.638 -1.608
```

Summary:
* calculated density: 18.64 Mg/m³
* DOS(E_F): 2.92 states/eV/f.u.
* offset from the most stable computed form: 0.000 eV per atom
* calculated volume: 16.4 Å³ per atom

TaOs2W | PBE-GGA | optimized geometry

Structure (extended XYZ):
```
4
Lattice="2.906 0.000 0.000 0.000 3.832 0.000 0.000 0.000 5.705" Properties=species:S:1:pos:R:3 pbc="T T T"
Os 0.000 0.000 5.642
Os 1.453 1.916 1.452
Ta 0.000 0.000 2.764
W 1.453 1.916 4.405
```

Summary:
* calculated density: 19.48 Mg/m³
* DOS(E_F): 3.79 states/eV/f.u.
* offset from the most stable computed form: 0.125 eV per atom
* calculated volume: 15.9 Å³ per atom

TaOs2W | PBE-GGA | optimized geometry

Structure (extended XYZ):
```
4
Lattice="4.791 -0.003 0.000 1.379 4.588 0.000 -3.085 -2.293 2.860" Properties=species:S:1:pos:R:3 pbc="T T T"
Os 0.000 0.000 0.000
Os 3.085 2.293 0.000
W 2.395 -0.001 1.430
Ta 0.690 2.294 1.430
```

Summary:
* calculated density: 19.68 Mg/m³
* DOS(E_F): 3.04 states/eV/f.u.
* offset from the most stable computed form: 0.007 eV per atom
* calculated volume: 15.7 Å³ per atom

Ta2OsW6 | PBE-GGA | optimized geometry

Structure (extended XYZ):
```
9
Lattice="4.476 -0.372 -0.891 -0.395 4.015 -3.564 -0.484 -0.554 9.491" Properties=species:S:1:pos:R:3 pbc="T T T"
Ta 3.508 0.459 5.637
Ta 0.089 2.631 -0.601
W 1.957 2.838 -3.049
W 2.941 -0.172 3.048
W 2.697 1.645 1.156
W 0.656 3.261 1.989
W 0.900 1.445 3.880
W 1.640 0.252 8.085
Os 0.000 0.000 0.000
```

Summary:
* calculated density: 17.42 Mg/m³
* DOS(E_F): 6.91 states/eV/f.u.
* DFT total energy: -108.46 eV/f.u.
* calculated volume: 17.5 Å³ per atom

TaOsW | PBE-GGA | optimized geometry

Structure (extended XYZ):
```
3
Lattice="7.037 -0.012 0.009 6.290 2.681 -0.009 0.746 -0.801 2.571" Properties=species:S:1:pos:R:3 pbc="T T T"
Ta 9.112 1.506 0.862
Os 13.308 2.663 0.004
W 4.979 0.366 1.706
```

Summary:
* calculated density: 18.97 Mg/m³
* DOS(E_F): 2.77 states/eV/f.u.
* offset from the most stable computed form: 0.064 eV per atom
* calculated volume: 16.2 Å³ per atom

TaOs2W | PBE-GGA | optimized geometry

Structure (extended XYZ):
```
4
Lattice="-4.716 -0.587 1.522 -0.459 -3.319 3.698 2.933 3.964 -0.762" Properties=species:S:1:pos:R:3 pbc="T T T"
Ta -2.587 -1.953 2.610
Os 0.000 0.000 0.000
Os -0.056 -0.654 2.773
W -2.185 0.712 1.685
```

Summary:
* calculated density: 19.61 Mg/m³
* DOS(E_F): 3.60 states/eV/f.u.
* offset from the most stable computed form: 0.055 eV per atom
* calculated volume: 15.8 Å³ per atom

Ta4OsW | PBE-GGA | optimized geometry

Structure (extended XYZ):
```
6
Lattice="4.295 0.000 0.000 0.000 5.585 0.045 0.000 0.055 5.585" Properties=species:S:1:pos:R:3 pbc="T T T"
Ta 4.295 1.021 1.019
Ta 2.148 3.842 1.792
Ta 0.000 4.619 4.611
Ta 2.148 1.798 3.839
W 0.000 2.820 2.815
Os 2.148 0.000 0.000
```

Summary:
* calculated density: 13.61 Mg/m³
* DOS(E_F): 7.37 states/eV/f.u.
* offset from the most stable computed form: 1.430 eV per atom
* calculated volume: 22.3 Å³ per atom

ZrTaOs2W | PBE-GGA | optimized geometry

Structure (extended XYZ):
```
5
Lattice="4.673 0.000 0.000 0.000 4.903 0.000 0.000 0.000 4.673" Properties=species:S:1:pos:R:3 pbc="T T T"
Ta 2.337 2.452 2.337
Os 2.337 0.000 0.000
Os 0.000 0.000 2.337
W 0.000 0.000 0.000
Zr 0.000 2.452 0.000
```

Summary:
* calculated density: 12.97 Mg/m³
* DOS(E_F): 4.99 states/eV/f.u.
* DFT total energy: -47.32 eV/f.u.
* calculated volume: 21.4 Å³ per atom

YTa4Os5 | PBE-GGA | optimized geometry

Structure (extended XYZ):
```
10
Lattice="-2.203 -0.423 -2.205 -0.768 -2.761 1.296 -11.599 7.950 10.066" Properties=species:S:1:pos:R:3 pbc="T T T"
Os -5.097 0.884 2.680
Os -9.472 3.883 6.477
Os -2.967 -0.576 0.832
Os -7.285 2.384 4.579
Os -11.602 5.343 8.325
Ta -6.908 4.735 5.995
Ta -9.158 6.277 7.947
Ta -2.441 1.673 2.119
Ta -4.691 3.215 4.071
Y 0.000 0.000 0.000
```

Summary:
* calculated density: 17.12 Mg/m³
* DOS(E_F): 4.81 states/eV/f.u.
* DFT total energy: -112.87 eV/f.u.
* calculated volume: 17.1 Å³ per atom

Y3TaOs | PBE-GGA | optimized geometry

Structure (extended XYZ):
```
5
Lattice="5.265 0.000 0.000 0.000 5.265 0.000 0.000 0.000 5.265" Properties=species:S:1:pos:R:3 pbc="T T T"
Ta 0.000 0.000 0.000
Y 0.000 0.000 2.633
Y 0.000 2.633 0.000
Y 2.633 0.000 0.000
Os 2.633 2.633 2.633
```

Summary:
* calculated density: 7.26 Mg/m³
* DOS(E_F): 5.27 states/eV/f.u.
* offset from the most stable computed form: 0.762 eV per atom
* calculated volume: 29.2 Å³ per atom

YTa2Os3 | PBE-GGA | optimized geometry

Structure (extended XYZ):
```
6
Lattice="3.164 0.000 0.000 0.000 3.164 0.000 0.000 0.000 10.577" Properties=species:S:1:pos:R:3 pbc="T T T"
Os 0.000 0.000 7.441
Os 0.000 0.000 0.000
Os 0.000 0.000 3.136
Ta 1.582 1.582 1.685
Ta 1.582 1.582 8.891
Y 1.582 1.582 5.288
```

Summary:
* calculated density: 16.02 Mg/m³
* DOS(E_F): 2.50 states/eV/f.u.
* DFT total energy: -65.71 eV/f.u.
* calculated volume: 17.6 Å³ per atom

Y2TaOs2 | PBE-GGA | optimized geometry

Structure (extended XYZ):
```
10
Lattice="6.765 0.000 0.000 0.000 6.765 0.000 0.000 0.000 4.711" Properties=species:S:1:pos:R:3 pbc="T T T"
Os 5.902 4.247 0.000
Os 4.247 0.864 0.000
Os 2.519 5.902 0.000
Os 0.864 2.519 0.000
Ta 0.000 0.000 0.000
Ta 3.383 3.383 0.000
Y 1.212 4.595 2.356
Y 2.171 1.212 2.356
Y 5.553 2.171 2.356
Y 4.595 5.553 2.356
```

Summary:
* calculated density: 11.38 Mg/m³
* DOS(E_F): 4.16 states/eV/f.u.
* DFT total energy: -48.05 eV/f.u.
* calculated volume: 21.6 Å³ per atom

Y4TaOs | PBE-GGA | optimized geometry

Structure (extended XYZ):
```
6
Lattice="0.000 4.183 4.183 4.183 0.000 4.183 4.183 4.183 0.000" Properties=species:S:1:pos:R:3 pbc="T T T"
Os 6.274 6.274 6.274
Ta 0.000 0.000 0.000
Y 5.226 3.140 5.226
Y 5.226 5.226 3.140
Y 3.140 5.226 5.226
Y 3.140 3.140 3.140
```

Summary:
* calculated density: 8.25 Mg/m³
* DOS(E_F): 10.37 states/eV/f.u.
* DFT total energy: -42.27 eV/f.u.
* calculated volume: 24.4 Å³ per atom

YTaOs3 | PBE-GGA | optimized geometry

Structure (extended XYZ):
```
5
Lattice="4.777 0.000 0.000 0.000 4.777 0.000 0.000 0.000 4.777" Properties=species:S:1:pos:R:3 pbc="T T T"
Os 2.388 0.000 0.000
Os 0.000 2.388 0.000
Os 0.000 0.000 2.388
Ta 0.000 0.000 0.000
Y 2.388 2.388 2.388
```

Summary:
* calculated density: 12.81 Mg/m³
* DOS(E_F): 3.44 states/eV/f.u.
* offset from the most stable computed form: 0.000 eV per atom
* calculated volume: 21.8 Å³ per atom